1.
A plane-wave DFT calculation with GGA-PBE was carried out for a geometry-optimized Co3C5 structure.

relative energy among the computed polymorphs = 0.000 eV/atom
density = 5.52 g/cm³
total magnetic moment = 0.75 μB per formula unit
Fermi-level density of states = 5.18 states/eV per cell

Cell: 6.8256 6.1285 5.3345 Å, 72.72 59.02 48.27°
Closest atoms and distances in Å follow each position.
Fractional positions:
Co  0.0000  0.0000  0.0000  4 C 1.82-1.95
Co  0.2248  0.2248  0.2752  8 C 2.01-2.25
Co  0.2366  0.2366  0.7634  4 C 1.86-2.04
Co  0.4154  0.6905  0.3095  5 C 1.81-2.00
Co  0.6905  0.4154  0.5846  5 C 1.81-2.00
Co  0.7248  0.7248  0.7752  8 C 2.01-2.25
C  0.0184  0.6885  0.3115  2 C 1.39-1.43
C  0.1901  0.5417  0.4583  1 C 1.39
C  0.2913  0.9594  0.0406  5 Co 1.86-2.01
C  0.3040  0.7201  0.6960  3 Co 1.81-1.82
C  0.5417  0.1901  0.8099  1 C 1.39
C  0.6534  0.8190  0.1810  2 C 1.43
C  0.6885  0.0184  0.9816  2 C 1.39-1.43
C  0.7201  0.3040  0.2799  3 Co 1.81-1.82
C  0.8190  0.6534  0.3466  2 C 1.43
C  0.9594  0.2913  0.7087  5 Co 1.86-2.01

2.
A plane-wave DFT calculation with GGA-PBE was carried out for a geometry-optimized CoC structure.

uncorrected energy = -6.963 eV per atom
density = 6.19 g/cm³
total magnetic moment = 1.15 μB per formula unit
Fermi-level density of states = 8.27 states/eV per cell

Cell: 4.1716 4.1716 5.0531 Å, 90.00 90.00 120.00°
Closest atoms and distances in Å follow each position.
Fractional positions:
Co  0.0000  0.0000  0.2500  5 Co 2.41-2.53, 6 C 2.50
Co  0.0000  0.0000  0.7500  5 Co 2.41-2.53, 6 C 2.50
Co  0.3333  0.6667  0.2500  2 C 1.87
Co  0.6667  0.3333  0.7500  2 C 1.87
C  0.3333  0.6667  0.6203  1 C 1.31
C  0.3333  0.6667  0.8797  1 C 1.31
C  0.6667  0.3333  0.1203  1 C 1.31
C  0.6667  0.3333  0.3797  1 C 1.31

3.
A plane-wave DFT calculation with GGA-PBE was carried out for a geometry-optimized CoC2 structure.

relative energy among the computed polymorphs = 0.925 eV/atom
density = 6.28 g/cm³
total magnetic moment = 0.00 μB per formula unit
Fermi-level density of states = 7.05 states/eV per cell

Cell: 3.3097 3.3097 8.0136 Å, 90.00 90.00 90.00°
Closest atoms and distances in Å follow each position.
Fractional positions:
Co  0.0000  0.2500  0.3750  4 C 2.08
Co  0.0000  0.7500  0.6250  4 C 2.08
Co  0.5000  0.2500  0.1250  4 C 2.08
Co  0.5000  0.7500  0.8750  4 C 2.08
C  0.0000  0.2500  0.7816  1 C 1.50
C  0.0000  0.2500  0.9684  1 C 1.50
C  0.0000  0.7500  0.0316  1 C 1.50
C  0.0000  0.7500  0.2184  1 C 1.50
C  0.5000  0.2500  0.5316  1 C 1.50
C  0.5000  0.2500  0.7184  1 C 1.50
C  0.5000  0.7500  0.2816  1 C 1.50
C  0.5000  0.7500  0.4684  1 C 1.50

Q: What is the formula in the third record?
A: CoC2

Repeat the third record exactly.
A plane-wave DFT calculation with GGA-PBE was carried out for a geometry-optimized CoC2 structure.

relative energy among the computed polymorphs = 0.925 eV/atom
density = 6.28 g/cm³
total magnetic moment = 0.00 μB per formula unit
Fermi-level density of states = 7.05 states/eV per cell

Cell: 3.3097 3.3097 8.0136 Å, 90.00 90.00 90.00°
Closest atoms and distances in Å follow each position.
Fractional positions:
Co  0.0000  0.2500  0.3750  4 C 2.08
Co  0.0000  0.7500  0.6250  4 C 2.08
Co  0.5000  0.2500  0.1250  4 C 2.08
Co  0.5000  0.7500  0.8750  4 C 2.08
C  0.0000  0.2500  0.7816  1 C 1.50
C  0.0000  0.2500  0.9684  1 C 1.50
C  0.0000  0.7500  0.0316  1 C 1.50
C  0.0000  0.7500  0.2184  1 C 1.50
C  0.5000  0.2500  0.5316  1 C 1.50
C  0.5000  0.2500  0.7184  1 C 1.50
C  0.5000  0.7500  0.2816  1 C 1.50
C  0.5000  0.7500  0.4684  1 C 1.50

Q: Look up the Fermi-level density of states of the third one.
A: 7.05 states/eV per cell

Q: Which of these has the highest density?
A: CoC2